(1)
Entry from Alexandria via LeMat-Bulk: a relaxed Dy3AuSe2 crystal (PBE-GGA).

The structure in extended XYZ format:
```
6
Lattice="-0.0297 -3.0284 2.6140 0.7560 -3.8012 -4.3952 5.9469 3.9158 1.5427" Properties=species:S:1:pos:R:3 pbc="T T T"
Se 1.5946 -5.0389 -1.2274
Se 5.0786 2.1250 0.9889
Dy 5.4588 0.2245 -1.2085
Dy 2.9586 0.4437 2.0784
Dy 1.2144 -3.1384 0.9700
Au 3.3366 -1.4569 -0.1193
```

## Properties
Formation energy from raw total energies = -1431 meV/atom
ΔE to the lowest computed polymorph = 0.006 eV per atom
V = 149.2 Å³/cell
Fermi-level density of states = 0.93 states/eV/atom
Symmetry = Immm
VASP energy = -32.6 eV per cell

***

(2)
Entry from Alexandria via LeMat-Bulk: a relaxed Tb3SmEr7 crystal (PBE-GGA).

The structure in extended XYZ format:
```
11
Lattice="-5.7007 0.3595 -0.6887 3.4882 -3.6501 -6.6744 2.0034 -7.2025 3.7615" Properties=species:S:1:pos:R:3 pbc="T T T"
Er -0.1612 -8.3339 -2.8598
Er -0.0479 -2.1592 -0.7418
Er -3.1830 -2.6954 0.9301
Er 2.7458 -5.4263 -1.4564
Er 2.3977 -9.1762 -0.4820
Er 2.9739 -7.7977 -4.5317
Er -2.6068 -1.3169 -3.1196
Tb 2.3124 -6.4631 1.5895
Tb -2.8504 0.1798 -0.3444
Tb 3.1792 -4.3895 -4.5024
Sm -0.1046 -5.2465 -1.8008
```

## Properties
V = 355.1 Å³/cell
DFT formation energy = 6.2 kcal/mol of atoms
Fermi-level density of states = 1.48 states/eV/atom
Symmetry = C2/m
VASP energy = -47.6 eV per cell

***

(3)
Entry from Alexandria via LeMat-Bulk: a relaxed Cd3WAu crystal (PBE-GGA).

The structure in extended XYZ format:
```
5
Lattice="5.1789 0.0000 0.0000 0.0000 5.1789 0.0000 0.0000 0.0000 5.1789" Properties=species:S:1:pos:R:3 pbc="T T T"
Au 0.0000 0.0000 0.0000
Cd 0.0000 0.0000 2.5895
Cd 0.0000 2.5895 0.0000
Cd 2.5895 0.0000 0.0000
W 2.5895 2.5895 2.5895
```

## Properties
ΔE to the lowest computed polymorph = 0.000 eV per atom
V = 138.9 Å³/cell
DFT formation energy = 29.4 kcal/mol of atoms
Fermi-level density of states = 0.33 states/eV/atom
Symmetry = Pm-3m
VASP energy = -12.6 eV per cell